# Fe2PIr2

An optimized crystal structure of Fe2PIr2 (GGA-PBE, the Alexandria database).

Lattice parameters (Å, degrees): 7.2646 7.2646 2.6784 90.00 90.00 90.00
With the nearest neighbours (Å) after each atom.
Space group P4/mbm (No. 127)
Unique sites:
Fe1 0.1214 0.3786 0.0000  3 Fe 2.49-2.68, 6 Ir 2.51-2.54
P1 0.0000 0.0000 0.5000  2 P 2.68, 4 Ir 2.69
Ir1 0.1720 0.6720 0.5000  6 Fe 2.51-2.54, 2 Ir 2.68, 2 P 2.69

Computed properties:
Energy relative to the elements: 0.25 eV per atom
DOS at the Fermi energy: 10.377 states/eV per cell